A plane-wave DFT calculation with PBE was carried out for a relaxed Ba4Sb2Au crystal.

**Size of the total moment**: 0.00 μB/atom
**Crystal system**: trigonal
**VASP energy**: -25.58 eV/cell
**Formation energy without anion corrections**: -0.910 eV per atom

Lattice parameters (Å, degrees): 10.219 10.219 10.219 33.47 33.47 33.47
Fractional coordinates of all 7 atoms:
Ba1 0.121 0.121 0.121
Ba2 0.371 0.371 0.371
Ba3 0.629 0.629 0.629
Ba4 0.879 0.879 0.879
Sb1 0.246 0.246 0.246
Sb2 0.754 0.754 0.754
Au1 0.000 0.000 0.000